Density functional theory data (PBE) for crystalline HPb at its relaxed geometry.

Lattice parameters (Å, degrees): 8.805 8.805 3.916 90.00 90.00 90.00
Positions (direct):
1 H 0.327 0.312 0.500
2 H 0.188 0.827 0.000
3 H 0.827 0.812 0.000
4 Pb 0.269 0.927 0.500
5 H 0.312 0.673 0.500
6 Pb 0.573 0.769 0.000
7 Pb 0.731 0.073 0.500
8 Pb 0.927 0.731 0.500
9 H 0.173 0.188 0.000
10 Pb 0.231 0.573 0.000
11 H 0.812 0.173 0.000
12 Pb 0.073 0.269 0.500
13 H 0.688 0.327 0.500
14 H 0.673 0.688 0.500
15 Pb 0.427 0.231 0.000
16 Pb 0.769 0.427 0.000

**Space group**: I4/m
**Energy**: -3.13 eV per atom
**Energy above the lowest structure with this stoichiometry**: 0.047 eV/atom
**Volume**: 18.98 Å³/atom